Below is a geometry-optimized LaMn2Se structure, with properties calculated at the PBE level.

Properties
Electronic total energy   -0.25987 Ha/atom

Geometry as CIF:
```
data_LaMn2Se
_chemical_formula_sum 'La1 Mn2 Se1'
_space_group_name_H-M_alt 'P 1'
_space_group_IT_number 1
_space_group_name_Hall 'P 1'
_cell_length_a 4.038
_cell_length_b 4.038
_cell_length_c 5.868
_cell_angle_alpha 69.88
_cell_angle_beta 69.88
_cell_angle_gamma 59.99
loop_
_atom_site_label
_atom_site_type_symbol
_atom_site_fract_x
_atom_site_fract_y
_atom_site_fract_z
La1 La 0.252 0.252 0.245
Mn1 Mn 0.050 0.050 0.850
Mn2 Mn 0.739 0.739 0.784
Se1 Se 0.460 0.460 0.620
```